# HoCoO3 SCAN single point on PBEsol structure
data_HoCoO3
_space_group_name_H-M_alt 'P n m a'
_space_group_IT_number 62
_space_group_name_Hall '-P 2ac 2n'
_cell_length_a 5.436
_cell_length_b 7.267
_cell_length_c 5.037
_cell_angle_alpha 90.00
_cell_angle_beta 90.00
_cell_angle_gamma 90.00
loop_
_atom_site_label
_atom_site_type_symbol
_atom_site_fract_x
_atom_site_fract_y
_atom_site_fract_z
Ho1 Ho 0.078 0.250 0.024
Co1 Co 0.000 0.000 0.500
O1 O 0.028 0.750 0.397
O2 O 0.197 0.550 0.811
# ΔE_f (raw) = -2.745 eV/atom



# UCoSi2 SCAN single point on PBEsol structure
data_UCoSi2
_space_group_name_H-M_alt 'C m c m'
_space_group_IT_number 63
_space_group_name_Hall '-C 2c 2'
_cell_length_a 3.866
_cell_length_b 16.054
_cell_length_c 3.918
_cell_angle_alpha 90.00
_cell_angle_beta 90.00
_cell_angle_gamma 90.00
loop_
_atom_site_label
_atom_site_type_symbol
_atom_site_fract_x
_atom_site_fract_y
_atom_site_fract_z
U1 U 0.000 0.106 0.250
Co1 Co 0.000 0.324 0.250
Si1 Si 0.000 0.250 0.750
Si2 Si 0.000 0.461 0.250
# ΔE_f (raw) = -0.392 eV/atom



# KMgRe SCAN single point on PBEsol structure
data_KMgRe
_space_group_name_H-M_alt 'I m m 2'
_space_group_IT_number 44
_space_group_name_Hall 'I 2 -2'
_cell_length_a 2.633
_cell_length_b 4.610
_cell_length_c 12.006
_cell_angle_alpha 90.00
_cell_angle_beta 90.00
_cell_angle_gamma 90.00
loop_
_atom_site_label
_atom_site_type_symbol
_atom_site_fract_x
_atom_site_fract_y
_atom_site_fract_z
K1 K 0.000 0.000 0.000
Mg1 Mg 0.000 0.000 0.723
Re1 Re 0.000 0.000 0.290
# Formation enthalpy at 0 K = 1.01 eV/atom
# Relative energy among the computed polymorphs = 0.0 meV per atom



# Tc2MoPt SCAN single point on PBEsol structure
data_Tc2MoPt
_space_group_name_H-M_alt 'I -4 m 2'
_space_group_IT_number 119
_space_group_name_Hall 'I -4 -2'
_cell_length_a 3.873
_cell_length_b 3.873
_cell_length_c 7.684
_cell_angle_alpha 90.00
_cell_angle_beta 90.00
_cell_angle_gamma 90.00
loop_
_atom_site_label
_atom_site_type_symbol
_atom_site_fract_x
_atom_site_fract_y
_atom_site_fract_z
Tc1 Tc 0.000 0.000 0.000
Tc2 Tc 0.000 0.500 0.250
Mo1 Mo 0.000 0.500 0.750
Pt1 Pt 0.000 0.000 0.500
# Formation enthalpy at 0 K = -0.21 eV/atom
# Relative energy among the computed polymorphs = 26.8 meV per atom



# RuW2Au SCAN single point on PBEsol structure
data_RuW2Au
_space_group_name_H-M_alt 'I m m 2'
_space_group_IT_number 44
_space_group_name_Hall 'I 2 -2'
_cell_length_a 3.002
_cell_length_b 4.580
_cell_length_c 9.124
_cell_angle_alpha 90.00
_cell_angle_beta 90.00
_cell_angle_gamma 90.00
loop_
_atom_site_label
_atom_site_type_symbol
_atom_site_fract_x
_atom_site_fract_y
_atom_site_fract_z
Ru1 Ru 0.000 0.000 0.000
W1 W 0.000 0.000 0.464
W2 W 0.000 0.500 0.727
Au1 Au 0.000 0.500 0.236
# Formation enthalpy at 0 K = 0.46 eV/atom
# Relative energy among the computed polymorphs = 307.9 meV per atom



# Ir2PtPb SCAN single point on PBEsol structure
data_Ir2PtPb
_space_group_name_H-M_alt 'C 1 2/m 1'
_space_group_IT_number 12
_space_group_name_Hall '-C 2y'
_cell_length_a 8.941
_cell_length_b 2.988
_cell_length_c 5.055
_cell_angle_alpha 90.00
_cell_angle_beta 100.45
_cell_angle_gamma 90.00
loop_
_atom_site_label
_atom_site_type_symbol
_atom_site_fract_x
_atom_site_fract_y
_atom_site_fract_z
Ir1 Ir 0.247 0.000 0.220
Pt1 Pt 0.000 0.500 0.000
Pb1 Pb 0.000 0.000 0.500
# Formation enthalpy at 0 K = 0.45 eV/atom



# Sr2SbPb SCAN single point on PBEsol structure
data_Sr2SbPb
_space_group_name_H-M_alt 'P m m m'
_space_group_IT_number 47
_space_group_name_Hall '-P 2 2'
_cell_length_a 3.981
_cell_length_b 4.340
_cell_length_c 7.439
_cell_angle_alpha 90.00
_cell_angle_beta 90.00
_cell_angle_gamma 90.00
loop_
_atom_site_label
_atom_site_type_symbol
_atom_site_fract_x
_atom_site_fract_y
_atom_site_fract_z
Sr1 Sr 0.000 0.000 0.237
Sb1 Sb 0.500 0.500 0.000
Pb1 Pb 0.500 0.500 0.500
# Relative energy among the computed polymorphs = 0.0 meV per atom
# ΔE_f (raw) = -0.840 eV/atom



# Ti9O17 SCAN single point on PBEsol structure
data_Ti9O17
_space_group_name_H-M_alt 'P -1'
_space_group_IT_number 2
_space_group_name_Hall '-P 1'
_cell_length_a 5.508
_cell_length_b 7.122
_cell_length_c 14.716
_cell_angle_alpha 96.90
_cell_angle_beta 90.51
_cell_angle_gamma 108.56
loop_
_atom_site_label
_atom_site_type_symbol
_atom_site_fract_x
_atom_site_fract_y
_atom_site_fract_z
Ti1 Ti 0.000 0.000 0.000
Ti2 Ti 0.000 0.500 0.000
Ti3 Ti 0.167 0.405 0.772
Ti4 Ti 0.168 0.904 0.774
Ti5 Ti 0.251 0.901 0.341
Ti6 Ti 0.253 0.405 0.342
Ti7 Ti 0.303 0.310 0.539
Ti8 Ti 0.304 0.813 0.542
Ti9 Ti 0.412 0.796 0.114
Ti10 Ti 0.417 0.297 0.114
O1 O 0.045 0.824 0.457
O2 O 0.047 0.113 0.728
O3 O 0.060 0.635 0.127
O4 O 0.106 0.760 0.641
O5 O 0.124 0.288 0.038
O6 O 0.143 0.615 0.308
O7 O 0.197 0.261 0.224
O8 O 0.226 0.036 0.894
O9 O 0.283 0.688 0.807
O10 O 0.293 0.012 0.079
O11 O 0.297 0.542 0.478
O12 O 0.352 0.187 0.405
O13 O 0.359 0.666 0.991
O14 O 0.382 0.451 0.658
O15 O 0.457 0.105 0.571
O16 O 0.458 0.412 0.844
O17 O 0.480 0.943 0.244
# ΔE_f (raw) = -3.297 eV/atom



Number 1: V 9.95 Å³ per atom, raw total energy -19.74 eV/atom. Number 2: V 15.20 Å³ per atom, raw total energy -35.61 eV/atom. Number 3: V 24.29 Å³ per atom, raw total energy -27.12 eV/atom. Number 4: V 14.41 Å³ per atom, raw total energy -44.01 eV/atom. Number 5: V 15.68 Å³ per atom, raw total energy -60.38 eV/atom. Number 6: V 16.60 Å³ per atom, raw total energy -71.59 eV/atom. Number 7: V 32.13 Å³ per atom, raw total energy -40.24 eV/atom. Number 8: V 10.43 Å³ per atom, raw total energy -12.92 eV/atom.